No. 1
VASP calculation (GGA-PBE) on crystalline Sn2RuPb at its relaxed geometry.

Structure (CIF):
```
data_Sn2RuPb
_cell_length_a 9.2968
_cell_length_b 9.2968
_cell_length_c 9.2968
_cell_angle_alpha 148.00
_cell_angle_beta 148.00
_cell_angle_gamma 45.89
_symmetry_space_group_name_H-M 'P 1'
_symmetry_Int_Tables_number 1
_symmetry_space_group_name_Hall 'P 1'
loop_
_atom_site_label
_atom_site_type_symbol
_atom_site_fract_x
_atom_site_fract_y
_atom_site_fract_z
_atom_site_occupancy
Sn1 Sn 0.0338 0.6250 0.9088 1
Sn2 Sn 0.3750 0.2838 0.4088 1
Sn3 Sn 0.7162 0.1250 0.0912 1
Sn4 Sn 0.8750 0.9662 0.5912 1
Ru1 Ru 0.0000 0.0000 0.0000 1
Ru2 Ru 0.7500 0.2500 0.5000 1
Pb1 Pb 0.2500 0.7500 0.5000 1
Pb2 Pb 0.5000 0.5000 0.0000 1
```

Values from the calculation:
- ΔE_f: 415.8 meV/atom
- Space group: I-42d, No. 122

No. 2
VASP calculation (GGA-PBE) on crystalline Sn2Ru2Pb at its relaxed geometry.

Structure (CIF):
```
data_Sn2Ru2Pb
_cell_length_a 6.7304
_cell_length_b 6.7304
_cell_length_c 6.7304
_cell_angle_alpha 143.66
_cell_angle_beta 143.66
_cell_angle_gamma 52.34
_symmetry_space_group_name_H-M 'P 1'
_symmetry_Int_Tables_number 1
_symmetry_space_group_name_Hall 'P 1'
loop_
_atom_site_label
_atom_site_type_symbol
_atom_site_fract_x
_atom_site_fract_y
_atom_site_fract_z
_atom_site_occupancy
Sn1 Sn 0.2500 0.7500 0.5000 1
Sn2 Sn 0.7500 0.2500 0.5000 1
Ru1 Ru 0.1088 0.1088 0.0000 1
Ru2 Ru 0.8912 0.8912 0.0000 1
Pb1 Pb 0.5000 0.5000 0.0000 1
```

Values from the calculation:
- ΔE_f: 244.5 meV/atom
- Energy relative to the lowest polymorph listed for this composition: 158 meV per atom
- Space group: I4/mmm, No. 139

Number 1: M_tot 0.00 μB per cell, calculated total energy -4.832 eV/atom. Number 2: M_tot 0.00 μB per cell, calculated total energy -5.809 eV/atom.